## one
Computed, not measured: a crystal of Cu7Pt5 relaxed with PBEsol at the SCAN level of DFT.

Lattice parameters (Å, degrees): 4.487 5.969 5.969 85.21 81.71 81.71
Fractional coordinates of all 12 atoms:
1 Pt 0.500 0.833 0.167
2 Cu 0.251 0.583 0.921
3 Cu 0.251 0.921 0.583
4 Cu 0.749 0.079 0.417
5 Pt 0.500 0.500 0.500
6 Cu 0.000 0.670 0.330
7 Cu 0.000 0.330 0.670
8 Pt 0.233 0.253 0.253
9 Cu 0.000 0.000 0.000
10 Cu 0.749 0.417 0.079
11 Pt 0.767 0.747 0.747
12 Pt 0.500 0.167 0.833

The calculation puts the spin magnetization at 0.0 μB/f.u. The space group is C2/m (12).

---

## two
Computed, not measured: a crystal of Cu7Pt5 relaxed with PBEsol at the SCAN level of DFT.

Lattice parameters (Å, degrees): 4.541 4.602 7.963 90.00 90.00 109.90
Fractional coordinates of all 12 atoms:
1 Pt 0.500 0.500 0.671
2 Pt 0.500 0.000 0.500
3 Cu 0.000 0.000 0.998
4 Pt 0.000 0.500 0.843
5 Cu 0.000 0.500 0.502
6 Cu 0.000 0.000 0.329
7 Pt 0.500 0.000 0.155
8 Cu 0.000 0.500 0.166
9 Cu 0.000 0.000 0.670
10 Cu 0.500 0.500 0.001
11 Cu 0.500 0.000 0.834
12 Pt 0.500 0.500 0.329

The calculation puts the spin magnetization at 0.0 μB/f.u. The space group is P2 (3).

---

Tell me which of them is the least stable. Sure, it is one.

---

## one
Computed, not measured: a crystal of Cu7Pt5 relaxed with PBEsol at the SCAN level of DFT.

Lattice parameters (Å, degrees): 4.580 5.333 6.964 78.54 76.40 72.79
Fractional coordinates of all 12 atoms:
1 Pt 0.000 0.000 0.500
2 Cu 0.002 0.341 0.160
3 Cu 0.493 0.336 0.673
4 Pt 0.491 0.826 0.674
5 Cu 0.998 0.659 0.840
6 Pt 0.500 0.000 0.000
7 Cu 0.500 0.500 0.000
8 Cu 0.996 0.171 0.840
9 Cu 0.507 0.664 0.327
10 Pt 0.000 0.500 0.500
11 Pt 0.509 0.174 0.326
12 Cu 0.004 0.829 0.160

The calculation puts the spin magnetization at 0.0 μB/f.u. The space group is P-1 (2).

---

## two
Computed, not measured: a crystal of Cu7Pt5 relaxed with PBEsol at the SCAN level of DFT.

Lattice parameters (Å, degrees): 4.567 5.284 6.474 90.00 90.87 90.00
Fractional coordinates of all 12 atoms:
1 Pt 0.182 0.000 0.843
2 Pt 0.000 0.745 0.500
3 Cu 0.827 0.500 0.161
4 Pt 0.818 0.000 0.157
5 Pt 0.500 0.000 0.500
6 Cu 0.329 0.739 0.164
7 Cu 0.671 0.739 0.836
8 Pt 0.000 0.255 0.500
9 Cu 0.173 0.500 0.839
10 Cu 0.329 0.261 0.164
11 Cu 0.671 0.261 0.836
12 Cu 0.500 0.500 0.500

The calculation puts the spin magnetization at 0.0 μB/f.u. The space group is P2/m (10).

---

Tell me which of them is the least stable. Sure, it is two.